Below is a geometry-optimized Sr2CrS structure, with properties calculated at the PBE level.

```
data_Sr2CrS
_space_group_name_H-M_alt 'I -4 2 d'
_space_group_IT_number 122
_space_group_name_Hall 'I -4 2bw'
_cell_length_a 8.301
_cell_length_b 8.301
_cell_length_c 8.476
_cell_angle_alpha 90.00
_cell_angle_beta 90.00
_cell_angle_gamma 90.00
loop_
_atom_site_label
_atom_site_type_symbol
_atom_site_fract_x
_atom_site_fract_y
_atom_site_fract_z
_atom_site_occupancy
Sr1 Sr 0.198 0.250 0.125 1
Cr1 Cr 0.000 0.000 0.500 1
S1 S 0.000 0.000 0.000 1
```

---

Below is a geometry-optimized Sr2UCrS6 structure, with properties calculated at the PBE level.

```
data_Sr2UCrS6
_space_group_name_H-M_alt 'P 1 21/c 1'
_space_group_IT_number 14
_space_group_name_Hall '-P 2ybc'
_cell_length_a 6.764
_cell_length_b 7.035
_cell_length_c 11.765
_cell_angle_alpha 90.00
_cell_angle_beta 124.34
_cell_angle_gamma 90.00
loop_
_atom_site_label
_atom_site_type_symbol
_atom_site_fract_x
_atom_site_fract_y
_atom_site_fract_z
_atom_site_occupancy
Sr1 Sr 0.226 0.069 0.247 1
U1 U 0.500 0.000 0.000 1
Cr1 Cr 0.000 0.000 0.500 1
S1 S 0.147 0.212 0.957 1
S2 S 0.247 0.694 0.957 1
S3 S 0.323 0.012 0.739 1
```

---

Table of energy (eV/atom), in record order: -4.5542; -6.3839
Table of density of states at the Fermi level (states/eV/f.u.), in record order: 1.8; 3.6